# 1
# ErAgPbAu

An optimized crystal structure of ErAgPbAu (PBE-GGA, Alexandria).

## Properties
* formation energy: -1.58 eV/f.u.
* D(E_F): 0.559 states/eV/atom

Cell: 5.0299 5.0299 5.0299 Å, 60.00 60.00 60.00°
Last column: nearest neighbours and their distance in Å.
Element x y z (fractional)
Pb 0.5000 0.5000 0.5000  4 Ag 3.08, 4 Au 3.08
Au 0.7500 0.7500 0.7500  4 Pb 3.08, 4 Er 3.08
Ag 0.2500 0.2500 0.2500  4 Er 3.08, 4 Pb 3.08
Er 0.0000 0.0000 0.0000  4 Au 3.08, 4 Ag 3.08

# 2
# ErAgPdAu

An optimized crystal structure of ErAgPdAu (PBE-GGA, Alexandria).

## Properties
* formation energy: -2.48 eV/f.u.
* D(E_F): 0.316 states/eV/atom

Cell: 4.7896 4.7896 4.7896 Å, 60.00 60.00 60.00°
Last column: nearest neighbours and their distance in Å.
Element x y z (fractional)
Au 0.5000 0.5000 0.5000  4 Ag 2.93, 4 Er 2.93
Pd 0.0000 0.0000 0.0000  4 Ag 2.93, 4 Er 2.93
Ag 0.2500 0.2500 0.2500  4 Pd 2.93, 4 Au 2.93
Er 0.7500 0.7500 0.7500  4 Pd 2.93, 4 Au 2.93